# 1
PBE LiAlTeI2, optimized geometry; distance to the lowest polymorph of the same formula = 311 meV per atom; formation energy from raw total energies = 0.1 eV/f.u.; crystal system = tetragonal
1.0
5.593 0.000 0.000
0.000 5.593 0.000
0.000 0.000 5.199
Li Al Te I
1 1 1 2
Cartesian
0.000 0.000 0.000 Li
2.797 2.797 2.600 Al
0.000 0.000 2.600 Te
0.000 2.797 0.000 I
2.797 0.000 0.000 I

***

# 2
PBE BeTeAs, optimized geometry; distance to the lowest polymorph of the same formula = 280 meV per atom; formation energy from raw total energies = 0.8 eV/f.u.; crystal system = tetragonal
1.0
-1.649 1.649 5.818
1.649 -1.649 5.818
1.649 1.649 -5.818
Be Te As
1 1 1
Cartesian
0.000 0.000 0.000 Be
0.000 0.000 2.536 Te
0.000 0.000 5.379 As